CeSmHg2: optimized geometry, PBE.

POSCAR file:
```
CeSmHg2
1.0
3.778 0.000 0.000
0.000 3.778 0.000
0.000 0.000 7.763
Ce Sm Hg
1 1 2
Cartesian
0.000 0.000 0.000
0.000 0.000 3.882
1.889 1.889 2.001
1.889 1.889 5.762
```

Computed properties:
Density of states at the Fermi level ... 10.746 states/eV/cell
Uncorrected energy ... -12.77 eV for the cell shown
SG ... P4/mmm (123)
Energy relative to the elements ... -379 meV/atom

V3GaTc4: optimized geometry, PBE.

POSCAR file:
```
V3GaTc4
1.0
3.051 0.000 0.000
0.000 4.281 0.000
0.000 0.000 8.558
V Ga Tc
3 1 4
Cartesian
0.000 0.000 0.000
0.000 2.140 2.170
0.000 2.140 6.388
0.000 0.000 4.279
1.525 0.000 2.076
1.525 0.000 6.483
1.525 2.140 0.000
1.525 2.140 4.279
```

Computed properties:
Density of states at the Fermi level ... 7.043 states/eV/cell
Uncorrected energy ... -74.24 eV for the cell shown
SG ... Pmmm (47)
Energy relative to the elements ... -300 meV/atom

LiTiBeAl: optimized geometry, PBE.

POSCAR file:
```
LiTiBeAl
1.0
0.000 2.964 2.964
2.964 0.000 2.964
2.964 2.964 0.000
Li Ti Be Al
1 1 1 1
Cartesian
0.000 0.000 0.000
1.482 1.482 1.482
2.964 2.964 2.964
4.446 4.446 4.446
```

Computed properties:
Density of states at the Fermi level ... 2.309 states/eV/cell
Uncorrected energy ... -17.39 eV for the cell shown
SG ... F-43m (216)
Energy relative to the elements ... -29 meV/atom

LaCeEr14: optimized geometry, PBE.

POSCAR file:
```
LaCeEr14
1.0
11.411 0.000 0.000
0.000 3.550 6.117
0.000 -3.550 6.117
La Ce Er
1 1 14
Cartesian
0.000 0.000 0.000
0.000 0.000 6.110
0.000 -1.776 3.064
0.000 1.776 3.064
2.859 0.000 8.152
2.899 0.000 2.053
2.899 -1.758 5.107
2.899 1.758 5.107
5.706 0.000 4.080
5.706 -1.777 7.154
5.706 0.000 10.199
5.706 1.777 7.154
8.513 0.000 2.053
8.512 -1.758 5.107
8.512 1.758 5.107
8.552 0.000 8.152
```

Computed properties:
Density of states at the Fermi level ... 23.486 states/eV/cell
Uncorrected energy ... -74.28 eV for the cell shown
SG ... Amm2 (38)
Energy relative to the elements ... 29 meV/atom

Pr3RhSeCl: optimized geometry, PBE.

POSCAR file:
```
Pr3RhSeCl
1.0
8.610 0.000 0.000
0.000 4.180 0.000
-2.084 0.000 9.224
Pr Rh Se Cl
6 2 2 2
Cartesian
-0.127 1.045 3.139
-0.125 1.045 9.100
2.004 3.135 5.631
4.522 1.045 3.593
6.651 3.135 0.123
6.652 3.135 6.085
0.043 1.045 5.995
6.483 3.135 3.228
2.220 3.135 2.465
4.306 1.045 6.758
1.600 3.135 8.352
4.926 1.045 0.872
```

Computed properties:
Density of states at the Fermi level ... 7.395 states/eV/cell
Formation energy (no corrections) ... -1155.5 meV per atom
Uncorrected energy ... -67.91 eV for the cell shown
SG ... P2_1/m (11)

Sc3GaO: optimized geometry, PBE.

POSCAR file:
```
Sc3GaO
1.0
6.460 -1.755 0.000
6.460 1.755 0.000
-0.502 0.000 8.630
Sc Ga O
6 2 2
Cartesian
0.321 0.000 2.466
2.782 0.000 5.820
4.597 0.000 0.183
7.822 0.000 8.447
9.637 0.000 2.810
12.098 0.000 6.164
4.983 0.000 3.950
7.436 0.000 4.680
2.174 0.000 7.755
10.244 0.000 0.876
```

Computed properties:
Density of states at the Fermi level ... 9.999 states/eV/cell
Formation energy (no corrections) ... -1359.1 meV per atom
Uncorrected energy ... -67.55 eV for the cell shown
SG ... C2/m (12)

Er2TaSi3Pt4: optimized geometry, PBE.

POSCAR file:
```
Er2TaSi3Pt4
1.0
4.130 0.000 0.000
0.000 4.130 0.000
0.000 0.000 10.544
Er Ta Si Pt
2 1 3 4
Cartesian
0.000 2.065 2.476
2.065 0.000 8.068
0.000 0.000 5.272
0.000 2.065 9.129
2.065 0.000 1.415
2.065 2.065 5.272
0.000 0.000 0.000
0.000 2.065 6.781
2.065 0.000 3.763
2.065 2.065 0.000
```

Computed properties:
Density of states at the Fermi level ... 5.861 states/eV/cell
Formation energy (no corrections) ... -990.0 meV per atom
Uncorrected energy ... -71.31 eV for the cell shown
SG ... P-4m2 (115)

LaThGe3: optimized geometry, PBE.

POSCAR file:
```
LaThGe3
1.0
2.197 -13.670 0.000
2.197 13.670 0.000
0.000 0.000 4.162
La Th Ge
2 2 6
Cartesian
2.197 11.706 3.121
2.197 -11.706 1.040
2.197 8.111 1.040
2.197 -8.111 3.121
2.197 5.040 1.040
2.197 3.342 3.121
2.197 0.745 3.121
2.197 -0.745 1.040
2.197 -3.342 1.040
2.197 -5.040 3.121
```

Computed properties:
Density of states at the Fermi level ... 7.012 states/eV/cell
Uncorrected energy ... -59.21 eV for the cell shown
SG ... Cmcm (63)
Energy relative to the elements ... -681 meV/atom

Pm3Mg7Pb2: optimized geometry, PBE.

POSCAR file:
```
Pm3Mg7Pb2
1.0
3.088 1.783 9.749
-3.088 1.783 9.749
0.000 -3.566 9.749
Pm Mg Pb
3 7 2
Cartesian
0.000 0.000 0.000
0.000 0.000 4.189
0.000 0.000 25.058
-1.573 -0.908 12.225
0.000 -1.816 17.021
-1.573 0.908 17.021
0.000 0.000 14.623
1.573 -0.908 12.225
0.000 1.816 12.225
1.573 0.908 17.021
0.000 0.000 9.782
0.000 0.000 19.464
```

Computed properties:
Density of states at the Fermi level ... 10.278 states/eV/cell
Uncorrected energy ... -34.54 eV for the cell shown
SG ... R-3m (166)
Energy relative to the elements ... -142 meV/atom

Cu5Pd12Au: optimized geometry, PBE.

POSCAR file:
```
Cu5Pd12Au
1.0
7.103 -4.162 0.000
7.103 4.162 0.000
-1.547 0.000 4.490
Cu Pd Au
5 12 1
Cartesian
0.000 0.000 0.000
1.588 0.000 2.223
3.171 0.000 4.462
9.487 0.000 0.028
11.070 0.000 2.268
0.827 1.346 4.473
6.329 2.836 2.245
3.918 1.374 2.245
0.827 -1.346 4.473
7.103 1.415 0.000
3.918 -1.374 2.245
8.740 1.374 2.246
7.103 -1.415 0.000
11.831 1.346 0.018
8.740 -1.374 2.246
6.329 -2.836 2.245
11.831 -1.346 0.018
6.329 0.000 2.245
```

Computed properties:
Density of states at the Fermi level ... 33.319 states/eV/cell
Uncorrected energy ... -87.12 eV for the cell shown
SG ... C2/m (12)
Energy relative to the elements ... -58 meV/atom

CuReTc2: optimized geometry, PBE.

POSCAR file:
```
CuReTc2
1.0
2.705 -3.820 0.000
2.705 3.820 0.000
0.000 0.000 2.747
Cu Re Tc
1 1 2
Cartesian
0.000 0.000 0.000
2.705 0.000 0.000
1.353 1.910 1.373
1.353 -1.910 1.373
```

Computed properties:
Density of states at the Fermi level ... 4.351 states/eV/cell
Uncorrected energy ... -36.37 eV for the cell shown
SG ... Cmmm (65)
Energy relative to the elements ... 225 meV/atom

CsPrCrCl6: optimized geometry, PBE.

POSCAR file:
```
CsPrCrCl6
1.0
-4.718 5.015 6.780
4.718 -5.015 6.780
4.718 5.015 -6.780
Cs Pr Cr Cl
2 2 2 12
Cartesian
0.000 2.507 0.553
4.718 2.507 6.227
4.718 0.000 0.000
0.000 0.000 6.780
2.359 2.507 -3.390
2.359 -2.507 3.390
4.718 -2.507 3.845
2.576 -0.713 1.612
6.860 -0.713 1.612
2.576 4.302 -1.612
2.142 -0.713 5.168
4.718 2.507 1.263
0.000 2.507 5.517
2.576 5.727 1.612
2.142 0.713 8.392
-2.142 5.727 5.168
2.142 5.727 5.168
0.000 7.522 2.936
```

Computed properties:
Density of states at the Fermi level ... 5.884 states/eV/cell
Formation energy (no corrections) ... -1739.9 meV per atom
Uncorrected energy ... -83.99 eV for the cell shown
SG ... Imma (74)

ErHfMg: optimized geometry, PBE.

POSCAR file:
```
ErHfMg
1.0
-1.659 1.659 6.807
1.659 -1.659 6.807
1.659 1.659 -6.807
Er Hf Mg
1 1 1
Cartesian
0.000 0.000 0.000
0.000 0.000 9.000
0.000 0.000 4.337
```

Computed properties:
Density of states at the Fermi level ... 2.060 states/eV/cell
Uncorrected energy ... -16.01 eV for the cell shown
SG ... I4mm (107)
Energy relative to the elements ... 35 meV/atom

IrOs2F: optimized geometry, PBE.

POSCAR file:
```
IrOs2F
1.0
0.000 3.009 3.009
3.009 0.000 3.009
3.009 3.009 0.000
Ir Os F
1 2 1
Cartesian
0.000 0.000 0.000
1.504 1.504 1.504
4.513 4.513 4.513
3.009 3.009 3.009
```

Computed properties:
Density of states at the Fermi level ... 4.788 states/eV/cell
Formation energy (no corrections) ... 474.8 meV per atom
Uncorrected energy ... -31.29 eV for the cell shown
SG ... Fm-3m (225)

Dy2MgAl4Pt3: optimized geometry, PBE.

POSCAR file:
```
Dy2MgAl4Pt3
1.0
4.138 0.000 0.000
0.000 4.138 0.000
0.000 0.000 11.153
Dy Mg Al Pt
2 1 4 3
Cartesian
0.000 2.069 2.633
2.069 0.000 8.520
0.000 0.000 5.577
0.000 0.000 0.000
0.000 2.069 7.215
2.069 0.000 3.938
2.069 2.069 0.000
0.000 2.069 9.676
2.069 0.000 1.477
2.069 2.069 5.577
```

Computed properties:
Density of states at the Fermi level ... 5.855 states/eV/cell
Uncorrected energy ... -53.26 eV for the cell shown
SG ... P-4m2 (115)
Energy relative to the elements ... -937 meV/atom

NaSr2Hg: optimized geometry, PBE.

POSCAR file:
```
NaSr2Hg
1.0
5.904 0.000 0.000
0.000 5.904 0.000
0.000 0.000 4.191
Na Sr Hg
1 2 1
Cartesian
0.000 0.000 0.000
0.000 2.952 2.096
2.952 0.000 2.096
2.952 2.952 0.000
```

Computed properties:
Density of states at the Fermi level ... 3.881 states/eV/cell
Uncorrected energy ... -5.84 eV for the cell shown
SG ... P4/mmm (123)
Energy relative to the elements ... -213 meV/atom

Ho8Cu2Ni: optimized geometry, PBE.

POSCAR file:
```
Ho8Cu2Ni
1.0
8.554 -2.519 0.000
8.554 2.519 0.000
-1.779 0.000 6.365
Ho Cu Ni
8 2 1
Cartesian
0.034 0.000 1.831
1.976 0.000 5.262
4.806 0.000 3.336
6.913 0.000 0.364
8.416 0.000 6.001
10.523 0.000 3.029
13.353 0.000 1.103
15.295 0.000 4.534
2.786 0.000 1.457
12.543 0.000 4.908
7.664 0.000 3.183
```

Computed properties:
Density of states at the Fermi level ... 10.798 states/eV/cell
Uncorrected energy ... -52.15 eV for the cell shown
SG ... C2/m (12)
Energy relative to the elements ... -141 meV/atom

Tb3Cd3Ag: optimized geometry, PBE.

POSCAR file:
```
Tb3Cd3Ag
1.0
-1.720 2.468 10.408
1.720 -2.468 10.408
1.720 2.468 -10.408
Tb Cd Ag
3 3 1
Cartesian
0.000 0.000 0.000
0.000 0.000 8.257
0.000 2.468 4.273
1.720 0.000 2.792
0.000 0.000 11.601
0.000 0.000 17.535
1.720 0.000 5.589
```

Computed properties:
Density of states at the Fermi level ... 5.810 states/eV/cell
Uncorrected energy ... -21.38 eV for the cell shown
SG ... Imm2 (44)
Energy relative to the elements ... -271 meV/atom

PrNp4O12: optimized geometry, PBE.

POSCAR file:
```
PrNp4O12
1.0
-4.192 4.192 4.091
4.192 -4.192 4.091
4.192 4.192 -4.091
Pr Np O
1 4 12
Cartesian
0.000 0.000 0.000
2.096 2.096 -2.046
2.096 -2.096 2.046
-2.096 2.096 2.046
2.096 2.096 2.046
4.192 -2.220 2.491
1.971 0.000 1.600
6.412 0.000 1.600
2.369 2.369 0.000
1.822 -1.822 4.091
0.000 1.971 1.600
4.192 2.220 2.491
-1.822 1.822 4.091
1.822 1.822 4.091
-2.220 4.192 2.491
2.220 4.192 2.491
0.000 6.412 1.600
```

Computed properties:
Density of states at the Fermi level ... 16.043 states/eV/cell
Formation energy (no corrections) ... -2947.7 meV per atom
Uncorrected energy ... -166.15 eV for the cell shown
SG ... I4/mmm (139)

TmCoTcGe2: optimized geometry, PBE.

POSCAR file:
```
TmCoTcGe2
1.0
-2.068 2.068 4.991
2.068 -2.068 4.991
2.068 2.068 -4.991
Tm Co Tc Ge
1 1 1 2
Cartesian
0.000 0.000 0.000
2.068 0.000 2.495
0.000 2.068 2.495
0.000 0.000 3.719
0.000 0.000 6.262
```

Computed properties:
Density of states at the Fermi level ... 4.440 states/eV/cell
Uncorrected energy ... -33.53 eV for the cell shown
SG ... I-4m2 (119)
Energy relative to the elements ... -470 meV/atom